# 1
! PmMgPAu | Alexandria | PBE | relaxed; values from VASP
! - SG: F-43m
! - Crystal system: cubic
! - ρ: 7715 kg/m3
! - Total DFT energy (no corrections): -4.41 eV per atom
! - Fermi-level density of states: 0.690 states/eV per atom
&SYSTEM
  ibrav = 0, nat = 4, ntyp = 4
/
ATOMIC_SPECIES
P 30.97 P.upf
Pm 145.00 Pm.upf
Mg 24.30 Mg.upf
Au 196.97 Au.upf
CELL_PARAMETERS angstrom
4.945 0.000 0.000
2.472 4.282 0.000
2.472 1.427 4.038
ATOMIC_POSITIONS crystal
P 0.500 0.500 0.500
Pm 0.750 0.750 0.750
Mg 0.250 0.250 0.250
Au 0.000 0.000 0.000



# 2
! MgPAuS2 | Alexandria | PBE | relaxed; values from VASP
! - SG: P4/mmm
! - Crystal system: tetragonal
! - ρ: 4847 kg/m3
! - Total DFT energy (no corrections): -2.97 eV per atom
! - Polymorph energy (0 for the lowest one): 200 meV/atom
! - Formation energy from raw total energies: 0.7371 eV per atom
! - Fermi-level density of states: 1.245 states/eV per atom
&SYSTEM
  ibrav = 0, nat = 5, ntyp = 4
/
ATOMIC_SPECIES
S 32.06 S.upf
P 30.97 P.upf
Mg 24.30 Mg.upf
Au 196.97 Au.upf
CELL_PARAMETERS angstrom
-2.279 1.800 3.710
3.326 -1.704 2.870
2.526 4.152 -0.463
ATOMIC_POSITIONS crystal
S 0.000 0.500 0.000
S 0.500 0.000 0.000
P 0.000 0.000 0.500
Mg 0.000 0.000 0.000
Au 0.500 0.500 0.500



# 3
! MgPAuS2 | Alexandria | PBE | relaxed; values from VASP
! - SG: P4/mmm
! - Crystal system: tetragonal
! - ρ: 4526 kg/m3
! - Total DFT energy (no corrections): -3.17 eV per atom
! - Polymorph energy (0 for the lowest one): 0 meV/atom
! - Formation energy from raw total energies: 0.5367 eV per atom
! - Fermi-level density of states: 0.564 states/eV per atom
&SYSTEM
  ibrav = 0, nat = 5, ntyp = 4
/
ATOMIC_SPECIES
S 32.06 S.upf
Mg 24.30 Mg.upf
Au 196.97 Au.upf
P 30.97 P.upf
CELL_PARAMETERS angstrom
-4.220 2.017 1.847
-2.549 -1.667 -4.002
-0.906 -3.920 2.209
ATOMIC_POSITIONS crystal
S 0.000 0.500 0.000
S 0.500 0.000 0.000
Mg 0.500 0.500 0.500
Au 0.000 0.000 0.000
P 0.000 0.000 0.500



# 4
! MgTcPAu2 | Alexandria | PBE | relaxed; values from VASP
! - SG: P4/mmm
! - Crystal system: tetragonal
! - ρ: 7788 kg/m3
! - Total DFT energy (no corrections): -4.36 eV per atom
! - Fermi-level density of states: 0.769 states/eV per atom
&SYSTEM
  ibrav = 0, nat = 5, ntyp = 4
/
ATOMIC_SPECIES
Au 196.97 Au.upf
Tc 98.00 Tc.upf
P 30.97 P.upf
Mg 24.30 Mg.upf
CELL_PARAMETERS angstrom
5.154 0.000 0.000
0.000 4.392 0.000
0.000 0.000 5.154
ATOMIC_POSITIONS crystal
Au 0.000 0.000 0.500
Au 0.500 0.000 0.000
Tc 0.000 0.000 0.000
P 0.000 0.500 0.000
Mg 0.500 0.500 0.500